Ba2FeP2N6 (PBE, optimized geometry); uncorrected formation energy = -32.19 kJ/mol of atoms; calculated volume = 14.25 Å³ per atom; calculated total energy = -6.977 eV/atom; density of states at the Fermi level = 3.23 states/eV/cell; space-group type = R-3m, No. 166
1.0
5.624 0.000 0.000
2.812 4.871 0.000
2.812 1.624 5.721
P Fe Ba N
2 1 2 6
Direct
0.403 0.403 0.790
0.597 0.597 0.210
0.000 0.000 0.000
0.785 0.785 0.646
0.215 0.215 0.354
0.243 0.243 0.782
0.757 0.757 0.218
0.757 0.267 0.218
0.243 0.733 0.782
0.267 0.757 0.218
0.733 0.243 0.782

Ba2Fe2P2N (PBE, optimized geometry); uncorrected formation energy = -71.32 kJ/mol of atoms; calculated volume = 19.29 Å³ per atom; calculated total energy = -6.441 eV/atom; density of states at the Fermi level = 4.35 states/eV/cell; space-group type = C2/m, No. 12
1.0
-3.071 -0.790 2.247
1.753 -0.634 5.533
-1.530 5.714 3.279
Ba Fe P N
2 2 2 1
Direct
0.439 0.799 0.322
0.561 0.201 0.678
0.821 0.302 0.056
0.179 0.698 0.944
0.794 0.630 0.782
0.206 0.370 0.218
0.000 0.000 0.000

BaPa2FeN4 (PBE, optimized geometry); uncorrected formation energy = -75.23 kJ/mol of atoms; calculated volume = 16.93 Å³ per atom; calculated total energy = -8.615 eV/atom; density of states at the Fermi level = 5.46 states/eV/cell; space-group type = I-42m, No. 121
1.0
-3.777 -1.080 4.138
2.430 -4.455 -2.607
4.981 2.345 1.497
N Pa Fe Ba
4 2 1 1
Direct
0.617 0.479 0.479
0.383 0.861 0.861
0.000 0.139 0.521
0.000 0.521 0.139
0.500 0.250 0.750
0.500 0.750 0.250
0.000 0.500 0.500
0.000 0.000 0.000